Record 1
CaReIr: relaxed, PBE.

a = 4.546 Å, b = 4.546 Å, c = 6.570 Å
α = 90.40°, β = 90.40°, γ = 80.68°
Fractional coordinates of all 6 atoms:
Re  0.027  0.123  0.048
Re  0.463  0.687  0.048
Ca  0.508  0.168  0.400
Ca  0.982  0.642  0.695
Ir  0.962  0.622  0.213
Ir  0.528  0.188  0.883

Results
Space group ... C2/m, No. 12
Formation energy from the elements ... -0.1 eV per formula unit
Energy above the lowest structure with this stoichiometry ... 121 meV/atom

Record 2
CaReIr: relaxed, PBE.

a = 2.895 Å, b = 2.895 Å, c = 7.265 Å
α = 90.00°, β = 90.00°, γ = 120.00°
Fractional coordinates of all 3 atoms:
Re  0.667  0.333  0.641
Ca  0.000  0.000  0.004
Ir  0.333  0.667  0.355

Results
Space group ... P3m1, No. 156
Formation energy from the elements ... 1.6 eV per formula unit
Energy above the lowest structure with this stoichiometry ... 671 meV/atom

Record 3
Ca2ReIr: relaxed, PBE.

a = 5.721 Å, b = 5.721 Å, c = 5.721 Å
α = 148.60°, β = 128.50°, γ = 61.57°
Fractional coordinates of all 4 atoms:
Re  0.250  0.750  0.500
Ca  0.986  0.986  0.000
Ca  0.514  0.514  0.000
Ir  0.750  0.250  0.500

Results
Space group ... Immm, No. 71
Formation energy from the elements ... 2.2 eV per formula unit
Energy above the lowest structure with this stoichiometry ... 381 meV/atom

Record 4
CaRe2Ir2: relaxed, PBE.

a = 7.829 Å, b = 7.829 Å, c = 2.750 Å
α = 90.00°, β = 90.00°, γ = 90.00°
Fractional coordinates of all 10 atoms:
Re  0.173  0.673  0.500
Re  0.673  0.827  0.500
Re  0.827  0.327  0.500
Re  0.327  0.173  0.500
Ca  0.000  0.000  0.000
Ca  0.500  0.500  0.000
Ir  0.378  0.878  0.000
Ir  0.878  0.622  0.000
Ir  0.622  0.122  0.000
Ir  0.122  0.378  0.000

Results
Space group ... P4/mbm, No. 127
Formation energy from the elements ... 0.2 eV per formula unit
Energy above the lowest structure with this stoichiometry ... 100 meV/atom

Record 5
CaReIr: relaxed, PBE.

a = 4.119 Å, b = 5.409 Å, c = 5.933 Å
α = 102.53°, β = 90.00°, γ = 90.00°
Fractional coordinates of all 6 atoms:
Re  0.979  0.435  0.777
Re  0.479  0.713  0.909
Ca  0.480  0.093  0.424
Ca  0.980  0.571  0.293
Ir  0.979  0.932  0.778
Ir  0.479  0.224  0.939

Results
Space group ... Pm, No. 6
Formation energy from the elements ... 0.1 eV per formula unit
Energy above the lowest structure with this stoichiometry ... 170 meV/atom

Record 6
Ca2Re2Ir: relaxed, PBE.

a = 8.628 Å, b = 8.628 Å, c = 2.628 Å
α = 90.00°, β = 90.00°, γ = 90.00°
Fractional coordinates of all 10 atoms:
Re  0.184  0.684  0.500
Re  0.684  0.816  0.500
Re  0.816  0.316  0.500
Re  0.316  0.184  0.500
Ca  0.380  0.880  0.000
Ca  0.880  0.620  0.000
Ca  0.620  0.120  0.000
Ca  0.120  0.380  0.000
Ir  0.000  0.000  0.000
Ir  0.500  0.500  0.000

Results
Space group ... P4/mbm, No. 127
Formation energy from the elements ... 7.6 eV per formula unit
Energy above the lowest structure with this stoichiometry ... 1102 meV/atom

Record 7
Ca2ReIr: relaxed, PBE.

a = 10.325 Å, b = 10.325 Å, c = 7.683 Å
α = 47.78°, β = 47.78°, γ = 90.00°
Last column: magnetic moment on the atom in μB.
Fractional coordinates of all 8 atoms:
Re  0.500  0.500  0.000  1.42
Re  0.250  0.750  0.500  1.43
Ca  0.782  0.125  0.250  -0.01
Ca  0.968  0.625  0.250  -0.01
Ca  0.375  0.218  0.750  -0.01
Ca  0.875  0.032  0.750  0.00
Ir  0.000  0.000  0.000  0.06
Ir  0.750  0.250  0.500  0.06

Results
Space group ... I-42d, No. 122
Formation energy from the elements ... 2.6 eV per formula unit
Energy above the lowest structure with this stoichiometry ... 465 meV/atom

Record 8
CaRe2Ir2: relaxed, PBE.

a = 7.844 Å, b = 7.844 Å, c = 2.753 Å
α = 90.00°, β = 90.00°, γ = 90.00°
Fractional coordinates of all 10 atoms:
Re  0.381  0.881  0.000
Re  0.881  0.619  0.000
Re  0.619  0.119  0.000
Re  0.119  0.381  0.000
Ca  0.000  0.000  0.000
Ca  0.500  0.500  0.000
Ir  0.171  0.671  0.500
Ir  0.671  0.829  0.500
Ir  0.829  0.329  0.500
Ir  0.329  0.171  0.500

Results
Space group ... P4/mbm, No. 127
Formation energy from the elements ... -0.3 eV per formula unit
Energy above the lowest structure with this stoichiometry ... 0 meV/atom

Record 9
Ca2ReIr: relaxed, PBE.

a = 9.779 Å, b = 9.779 Å, c = 9.779 Å
α = 17.91°, β = 17.91°, γ = 17.91°
Fractional coordinates of all 4 atoms:
Re  0.750  0.750  0.750
Ca  0.996  0.996  0.996
Ca  0.504  0.504  0.504
Ir  0.250  0.250  0.250

Results
Space group ... R-3m, No. 166
Formation energy from the elements ... 2.3 eV per formula unit
Energy above the lowest structure with this stoichiometry ... 402 meV/atom

Record 10
CaReIr: relaxed, PBE.

a = 5.210 Å, b = 4.391 Å, c = 10.548 Å
α = 90.00°, β = 90.00°, γ = 90.00°
Fractional coordinates of all 12 atoms:
Re  0.089  0.250  0.821
Re  0.411  0.750  0.321
Re  0.911  0.750  0.179
Re  0.589  0.250  0.679
Ca  0.903  0.250  0.373
Ca  0.597  0.750  0.873
Ca  0.097  0.750  0.627
Ca  0.403  0.250  0.127
Ir  0.408  0.250  0.438
Ir  0.092  0.750  0.938
Ir  0.592  0.750  0.562
Ir  0.908  0.250  0.062

Results
Space group ... Pnma, No. 62
Formation energy from the elements ... 0.6 eV per formula unit
Energy above the lowest structure with this stoichiometry ... 351 meV/atom

Record 11
Ca2ReIr: relaxed, PBE.

a = 5.499 Å, b = 5.499 Å, c = 5.499 Å
α = 136.54°, β = 136.54°, γ = 63.15°
Fractional coordinates of all 4 atoms:
Re  0.750  0.250  0.500
Ca  0.000  0.000  0.000
Ca  0.500  0.500  0.000
Ir  0.250  0.750  0.500

Results
Space group ... I4/mmm, No. 139
Formation energy from the elements ... 2.3 eV per formula unit
Energy above the lowest structure with this stoichiometry ... 397 meV/atom

Record 12
CaReIr: relaxed, PBE.

a = 4.161 Å, b = 4.161 Å, c = 9.349 Å
α = 90.00°, β = 90.00°, γ = 120.00°
Fractional coordinates of all 6 atoms:
Re  0.333  0.667  0.250
Re  0.667  0.333  0.750
Ca  0.000  0.000  0.000
Ca  0.000  0.000  0.500
Ir  0.333  0.667  0.750
Ir  0.667  0.333  0.250

Results
Space group ... P6_3/mmc, No. 194
Formation energy from the elements ... 0.6 eV per formula unit
Energy above the lowest structure with this stoichiometry ... 329 meV/atom